VASP calculation (GGA+U) on a relaxed structure of Zr2VF11.

Lattice parameters (Å, degrees): 7.9135 8.1432 8.1432 73.58 60.93 60.93
Last column: magnetic moment on the atom in μB.
Fractional coordinates of all 28 atoms:
F  0.1088  0.5516  0.7479  0.00
F  0.4552  0.9921  0.2721  0.00
Zr  0.1299  0.8111  0.1889  0.00
F  0.3912  0.7521  0.9484  0.00
Zr  0.8701  0.1889  0.8111  0.00
F  0.1323  0.2168  0.7832  0.00
F  0.4083  0.2521  0.4484  0.00
F  0.6323  0.2832  0.7168  0.00
F  0.7807  0.4921  0.7721  0.00
F  0.5448  0.0079  0.7279  0.00
F  0.5000  0.5000  0.5000  0.00
F  0.5917  0.7479  0.5516  0.00
F  0.0917  0.0516  0.2479  0.00
F  0.0448  0.2279  0.5079  0.00
F  0.2807  0.2721  0.9921  0.00
V  0.7500  0.7500  0.7500  1.90
F  0.2193  0.5079  0.2279  0.00
Zr  0.3701  0.3111  0.6889  0.00
F  0.9083  0.9484  0.7521  0.00
F  0.9552  0.7721  0.4921  0.00
F  0.6088  0.2479  0.0516  0.00
F  0.3677  0.7168  0.2832  0.00
V  0.2500  0.2500  0.2500  1.90
Zr  0.6299  0.6889  0.3111  0.00
F  0.0000  0.0000  0.0000  0.00
F  0.7193  0.7279  0.0079  0.00
F  0.8912  0.4484  0.2521  0.00
F  0.8677  0.7832  0.2168  0.00

## Properties
The space-group type is Ibam. The value obtained for the density of states at the Fermi level is 0.00 states/eV/f.u. For the total energy, the calculation gives -92.06 eV per formula unit.